Compound: KBeNiAs
Source: OQMD via LeMat-Bulk
Functional: PBE
Structure: optimized geometry

- ΔE to the lowest computed polymorph (eV/f.u.) = 0.00
- total magnetization (μB/f.u.) = 0.00
- DFT total energy (eV/atom) = -3.0969
- theoretical density (Mg/m³) = 4.52

The structure in POSCAR format:
```
KBeNiAs
1.0
-3.140 -3.290 0.253
-4.176 0.705 -1.676
-1.334 -2.170 -3.776
As Be K Ni
1 1 1 1
Direct
0.250 0.250 0.250
0.750 0.750 0.750
0.000 0.000 0.000
0.500 0.500 0.500
```